Record 1
The following is a DFT calculation (GGA-PBE) of RbAgAsO after structural relaxation.

Results
Raw total energy   -28.54 eV per cell
Calculated volume   23.5 Å³/atom
Space group   No. 26

POSCAR file:
```
RbAgAsO
1.0
-1.8118 2.4178 -2.3154
-0.4441 -6.3599 -6.2937
-4.8482 -1.6798 2.0396
Ag As Rb O
2 2 2 2
Cartesian
-0.1139 -1.5657 -1.5458
-2.7637 -5.6373 -3.7241
-1.4339 -3.6032 -2.6406
-3.8575 -4.4361 -1.6139
-3.4067 -0.6391 -1.1307
-1.2862 -4.1473 -6.4533
-0.9793 0.2786 -2.0717
-3.7180 -5.0666 -5.5103
```


Record 2
The following is a DFT calculation (GGA-PBE) of RbAgAsO after structural relaxation.

Results
Raw total energy   -25.81 eV per cell
Calculated volume   25.3 Å³/atom
Space group   No. 129

POSCAR file:
```
RbAgAsO
1.0
-3.4527 2.9703 -0.6629
-1.0102 -0.1702 4.4871
5.9580 7.2866 1.6177
O Ag As Rb
2 2 2 2
Cartesian
-2.8421 2.1852 0.6246
-1.6208 0.6149 3.1996
0.1369 5.8285 1.4334
1.3582 4.2582 4.0085
2.6164 5.2644 1.9694
-1.1212 4.8223 3.4725
1.7574 8.3429 4.2541
-0.2622 1.7438 1.1878
```


Record 3
The following is a DFT calculation (GGA-PBE) of RbAgAsO after structural relaxation.

Results
Raw total energy   -26.54 eV per cell
Calculated volume   29.1 Å³/atom
Space group   No. 26

POSCAR file:
```
RbAgAsO
1.0
4.2511 0.0000 0.0000
0.0000 7.4247 0.0000
0.0000 0.0000 7.3716
Rb As O Ag
2 2 2 2
Cartesian
2.1255 2.0959 6.9331
2.1255 5.3288 3.2473
2.1255 5.6569 6.8833
2.1255 1.7678 3.1976
0.0000 0.5942 6.1173
0.0000 6.8304 2.4315
0.0000 0.8047 4.0533
0.0000 6.6200 0.3675
```


Record 4
The following is a DFT calculation (GGA-PBE) of RbAgAsO after structural relaxation.

Results
Raw total energy   -24.63 eV per cell
Calculated volume   22.8 Å³/atom
Space group   No. 129

POSCAR file:
```
RbAgAsO
1.0
4.5031 0.0000 0.0000
0.0000 4.5031 0.0000
0.0000 0.0000 9.0008
Ag O As Rb
2 2 2 2
Cartesian
1.1258 1.1258 2.0294
3.3773 3.3773 6.9715
1.1258 3.3773 0.0000
3.3773 1.1258 0.0000
1.1258 1.1258 8.4320
3.3773 3.3773 0.5688
1.1258 3.3773 4.5004
3.3773 1.1258 4.5004
```


Record 5
The following is a DFT calculation (GGA-PBE) of RbAg2AsS2O2 after structural relaxation.

Results
Raw total energy   -34.70 eV per cell
Calculated volume   20.4 Å³/atom
Space group   No. 5

POSCAR file:
```
RbAg2AsS2O2
1.0
4.9943 -3.1694 0.0000
4.9943 3.1694 0.0000
-3.5399 0.0000 5.1520
As Ag Rb O S
1 2 1 2 2
Cartesian
4.9943 -2.9350 0.0000
6.6896 -0.0032 1.2052
-0.2409 -0.0032 3.9468
3.2244 -0.3674 2.5760
2.8716 -1.9605 4.9574
3.5771 -1.9605 0.1946
5.1510 2.0302 1.7115
1.2977 2.0302 3.4405
```


Record 6
The following is a DFT calculation (GGA-PBE) of RbAg2AsSO3 after structural relaxation.

Results
Raw total energy   -36.84 eV per cell
Calculated volume   17.9 Å³/atom
Space group   No. 8

POSCAR file:
```
RbAg2AsSO3
1.0
3.7433 -4.2212 0.0000
3.7433 4.2212 0.0000
-3.5853 0.0000 4.5354
Ag O S Rb As
2 3 1 1 1
Cartesian
1.8953 2.2074 2.2887
1.8953 -2.2074 2.2887
4.7814 -2.7841 0.1333
-0.9768 0.0000 1.5300
4.7814 2.7841 0.1333
2.9124 0.0000 2.7749
0.0743 0.0000 4.2962
0.0836 0.0000 0.1610
```


Record 7
The following is a DFT calculation (GGA-PBE) of RbAg2AsS2O2 after structural relaxation.

Results
Raw total energy   -34.81 eV per cell
Calculated volume   20.7 Å³/atom
Space group   No. 42

POSCAR file:
```
RbAg2AsS2O2
1.0
2.9999 0.9749 5.3426
-3.1996 -1.1319 4.7851
1.8652 -4.6718 4.2281
O Ag S As Rb
2 2 2 1 1
Cartesian
2.5883 -0.7611 5.1057
-0.3403 -5.3413 7.5858
1.2440 -3.6104 10.7815
0.4112 -1.1960 3.6036
3.0523 -2.5574 9.5346
-1.9894 -0.9538 6.5428
-0.1580 -0.2482 10.0085
0.8214 -2.3896 7.2103
```


Record 8
The following is a DFT calculation (GGA-PBE) of AgAsSO after structural relaxation.

Results
Raw total energy   -74.65 eV per cell
Calculated volume   20.4 Å³/atom
Space group   No. 4

POSCAR file:
```
AgAsSO
1.0
6.4152 0.0000 -0.0742
0.0000 4.5423 0.0000
-0.6864 0.0000 11.1945
As O S Ag
4 4 4 4
Cartesian
0.3764 2.0537 10.7977
3.2212 3.1783 8.8098
2.5076 0.9072 2.3104
5.3524 4.3248 0.3226
5.8104 2.5608 0.1646
3.6992 4.5282 9.9908
2.0296 2.2571 1.1294
-0.0815 0.2896 10.9556
2.1659 0.1243 7.3987
0.5706 0.7240 3.5152
5.1582 2.9951 7.6051
3.5629 2.3955 3.7215
3.7650 1.5146 6.0141
5.9620 3.0310 3.3404
1.9638 3.7858 5.1062
-0.2332 0.7598 7.7798
```


Record 9
The following is a DFT calculation (GGA-PBE) of AgAsSO after structural relaxation.

Results
Raw total energy   -34.79 eV per cell
Calculated volume   15.4 Å³/atom
Space group   No. 129

POSCAR file:
```
AgAsSO
1.0
3.7539 0.0000 0.0000
0.0000 3.7539 0.0000
0.0000 0.0000 8.7337
S Ag As O
2 2 2 2
Cartesian
0.9385 0.9385 6.2627
2.8154 2.8154 2.4710
2.8154 0.9385 4.3668
0.9385 2.8154 4.3668
2.8154 2.8154 7.6612
0.9385 0.9385 1.0725
2.8154 0.9385 0.0000
0.9385 2.8154 0.0000
```


Record 10
The following is a DFT calculation (GGA-PBE) of AgAsSO after structural relaxation.

Results
Raw total energy   -73.12 eV per cell
Calculated volume   17.4 Å³/atom
Space group   No. 14

POSCAR file:
```
AgAsSO
1.0
6.5493 0.0000 0.4052
0.0000 7.3995 0.0000
-0.2803 0.0000 5.7313
S As Ag O
4 4 4 4
Cartesian
0.9604 0.6649 4.6217
5.3086 6.7346 1.5148
5.1684 4.3646 4.3804
1.1006 3.0348 1.7560
2.4102 2.4727 4.3948
2.5504 1.2270 1.5292
3.8588 4.9268 1.7416
3.7186 6.1724 4.6073
0.5289 5.1390 0.0699
5.7401 2.2604 6.0665
5.8803 1.4393 3.2009
0.3887 5.9602 2.9356
3.5290 1.7493 3.0802
3.3889 1.9505 5.9459
2.7400 5.6502 3.0562
2.8801 5.4490 0.1906
```


Record 11
The following is a DFT calculation (GGA-PBE) of AgAsSO after structural relaxation.

Results
Raw total energy   -36.29 eV per cell
Calculated volume   18.8 Å³/atom
Space group   No. 26

POSCAR file:
```
AgAsSO
1.0
-3.2207 -1.2047 0.2065
1.9561 -4.4982 4.2659
-1.2626 4.2415 5.0515
O As Ag S
2 2 2 2
Cartesian
-0.5038 -2.2960 7.4800
-1.7354 -0.1329 0.8916
-0.1136 -4.0072 3.5836
-1.8523 0.6600 3.6945
0.6746 -0.7459 6.1685
0.3930 -0.7676 1.6521
-0.1810 1.3870 5.2679
0.9363 -1.8514 3.8021
```


Record 12
The following is a DFT calculation (GGA-PBE) of AgAsSO after structural relaxation.

Results
Raw total energy   -72.09 eV per cell
Calculated volume   19.9 Å³/atom
Space group   No. 29

POSCAR file:
```
AgAsSO
1.0
5.9728 0.0000 0.0000
0.0000 9.5616 0.0000
0.0000 0.0000 5.5756
S Ag O As
4 4 4 4
Cartesian
5.5947 3.1870 3.4746
3.3645 3.1870 0.6868
0.3781 6.3746 0.6868
2.6083 6.3746 3.4746
3.6941 8.5188 2.8414
0.7077 1.0428 2.8414
2.2787 1.0428 0.0536
5.2652 8.5188 0.0536
2.8660 8.4372 0.3871
0.1204 8.4372 3.1749
3.1069 1.1244 3.1749
5.8524 1.1244 0.3871
3.2983 2.8570 3.0541
2.6746 6.7046 0.2663
5.6610 2.8570 0.2663
0.3118 6.7046 3.0541
```


Record 13
The following is a DFT calculation (GGA-PBE) of SiAgAsO after structural relaxation.

Results
Raw total energy   -37.42 eV per cell
Calculated volume   15.4 Å³/atom
Space group   No. 129

POSCAR file:
```
SiAgAsO
1.0
3.5776 0.0000 0.0000
0.0000 3.5776 0.0000
0.0000 0.0000 9.6322
Ag Si As O
2 2 2 2
Cartesian
1.7888 1.7888 4.8161
0.0000 0.0000 4.8161
0.0000 1.7888 0.9921
1.7888 0.0000 8.6401
1.7888 0.0000 2.7110
0.0000 1.7888 6.9212
1.7888 1.7888 0.0000
0.0000 0.0000 0.0000
```


Record 14
The following is a DFT calculation (GGA-PBE) of SiAgAsO after structural relaxation.

Results
Raw total energy   -40.92 eV per cell
Calculated volume   16.8 Å³/atom
Space group   No. 26

POSCAR file:
```
SiAgAsO
1.0
-0.3399 2.6284 0.9435
-7.8907 -0.9695 -0.1415
0.1461 -2.0168 5.6712
Ag O As Si
2 2 2 2
Cartesian
-3.7283 -0.4638 -0.0510
-4.0885 -1.5254 2.7768
-1.4797 -0.9597 2.1405
-6.2262 -2.5602 4.8897
-6.6156 -0.2449 2.4932
-1.4318 -0.6253 5.4204
-7.0308 -1.5471 5.9714
-0.9830 0.2134 3.2456
```


Record 15
The following is a DFT calculation (GGA-PBE) of SiAgAsO after structural relaxation.

Results
Raw total energy   -43.03 eV per cell
Calculated volume   19.3 Å³/atom
Space group   No. 26

POSCAR file:
```
SiAgAsO
1.0
3.6822 0.0000 0.0000
0.0000 8.5446 0.0000
0.0000 0.0000 4.8975
O As Ag Si
2 2 2 2
Cartesian
1.8411 8.1529 1.6197
1.8411 0.3917 4.0684
0.0000 6.1508 4.6642
0.0000 2.3938 2.2155
0.0000 3.2850 4.6713
0.0000 5.2596 2.2226
1.8411 7.5688 0.0837
1.8411 0.9758 2.5324
```


Record 16
The following is a DFT calculation (GGA-PBE) of SiAgAsO after structural relaxation.

Results
Raw total energy   -34.30 eV per cell
Calculated volume   18.8 Å³/atom
Space group   No. 129

POSCAR file:
```
SiAgAsO
1.0
4.2711 0.0000 0.0000
0.0000 4.2711 0.0000
0.0000 0.0000 8.2438
As Ag Si O
2 2 2 2
Cartesian
2.1356 0.0000 2.7675
0.0000 2.1356 5.4763
0.0000 2.1356 0.4151
2.1356 0.0000 7.8287
0.0000 0.0000 4.1219
2.1356 2.1356 4.1219
2.1356 2.1356 0.0000
0.0000 0.0000 0.0000
```


Record 17
The following is a DFT calculation (GGA-PBE) of SmAgAsO after structural relaxation.

Results
Total moment   0.001 μB/atom
Raw total energy   -44.14 eV per cell
Calculated volume   22.9 Å³/atom
Space group   No. 26

POSCAR file:
```
SmAgAsO
1.0
-0.2202 0.1138 -3.7807
5.3525 -5.8574 -0.4880
-4.4738 -4.0996 0.1372
O Ag As Sm
2 2 2 2
Cartesian
-3.3894 -4.7265 0.0552
2.5880 -6.7701 -0.3545
0.4128 -8.9840 -0.2944
-1.3103 -2.6007 -0.0020
-0.2135 -3.7346 -1.9984
-0.7749 -7.6179 -2.0826
-2.7771 -5.4227 -1.8999
1.7928 -5.9260 -2.1812
```


Record 18
The following is a DFT calculation (GGA-PBE) of SmAgAsO after structural relaxation.

Results
Total moment   0.000 μB/atom
Raw total energy   -44.18 eV per cell
Calculated volume   20.1 Å³/atom
Space group   No. 26

POSCAR file:
```
SmAgAsO
1.0
4.3218 0.0000 0.0000
0.0000 6.4707 0.0000
0.0000 0.0000 5.7540
As O Ag Sm
2 2 2 2
Cartesian
0.0000 3.3961 4.5632
0.0000 3.0746 1.6862
2.1609 6.1075 2.2416
2.1609 0.3632 5.1186
0.0000 5.5117 2.9191
0.0000 0.9590 0.0421
2.1609 1.5929 3.2455
2.1609 4.8778 0.3685
```


Record 19
The following is a DFT calculation (GGA-PBE) of SmAgAsO after structural relaxation.

Results
Total moment   0.001 μB/atom
Raw total energy   -47.07 eV per cell
Calculated volume   18.8 Å³/atom
Space group   No. 129

POSCAR file:
```
SmAgAsO
1.0
4.0516 0.0000 0.0000
0.0000 4.0516 0.0000
0.0000 0.0000 9.1798
As O Ag Sm
2 2 2 2
Cartesian
0.0000 2.0258 6.3513
2.0258 0.0000 2.8285
2.0258 2.0258 0.0000
0.0000 0.0000 0.0000
2.0258 2.0258 4.5899
0.0000 0.0000 4.5899
0.0000 2.0258 1.1281
2.0258 0.0000 8.0517
```


Record 20
The following is a DFT calculation (GGA-PBE) of AgSnAsO after structural relaxation.

Results
Raw total energy   -35.87 eV per cell
Calculated volume   21.9 Å³/atom
Space group   No. 26

POSCAR file:
```
AgSnAsO
1.0
-0.3868 -2.2489 3.4038
5.3707 -4.0133 -2.0413
3.8812 3.7196 2.8986
Sn As Ag O
2 2 2 2
Cartesian
4.4635 -4.4523 0.0324
2.6393 0.2208 2.9126
3.3862 0.0740 0.4337
6.9789 0.6992 1.2550
5.7043 -1.0937 -0.0744
5.3228 2.5013 2.2575
3.7172 1.6394 3.9724
5.9935 -3.3715 0.9203
```